Entry 1:
Below is a relaxed FeSn4 crystal, with properties calculated at the PBE-GGA level.

```
data_FeSn4
_chemical_formula_sum 'Fe2 Sn8'
_cell_length_a 6.4586
_cell_length_b 6.4586
_cell_length_c 5.6523
_cell_angle_alpha 90.00
_cell_angle_beta 90.00
_cell_angle_gamma 90.00
_space_group_name_H-M_alt 'P 4/m c c'
_space_group_IT_number 124
_space_group_name_Hall '-P 4 2c'
loop_
_atom_site_label
_atom_site_type_symbol
_atom_site_fract_x
_atom_site_fract_y
_atom_site_fract_z
_atom_site_occupancy
Fe1 Fe 0.0000 0.0000 0.2500 1
Sn1 Sn 0.1768 0.3248 0.0000 1
```

Values from the calculation:
DFT formation energy: 0.054 eV per atom
D(E_F): 6.20 states/eV/cell
Crystal system: tetragonal
Energy: -0.1779 hartree per atom

---

Entry 2:
Below is a relaxed AgRuO2F crystal, with properties calculated at the PBE-GGA level.

```
data_AgRuO2F
_chemical_formula_sum 'Ag1 Ru1 O2 F1'
_cell_length_a 4.0990
_cell_length_b 4.0990
_cell_length_c 4.1730
_cell_angle_alpha 90.00
_cell_angle_beta 90.00
_cell_angle_gamma 90.00
_space_group_name_H-M_alt 'P 4/m m m'
_space_group_IT_number 123
_space_group_name_Hall '-P 4 2'
loop_
_atom_site_label
_atom_site_type_symbol
_atom_site_fract_x
_atom_site_fract_y
_atom_site_fract_z
_atom_site_occupancy
Ag1 Ag 0.0000 0.0000 0.0000 1
Ru1 Ru 0.5000 0.5000 0.5000 1
O1 O 0.0000 0.5000 0.0000 1
F1 F 0.0000 0.0000 0.5000 1
```

Values from the calculation:
D(E_F): 4.01 states/eV/cell
Crystal system: tetragonal
ΔE_f (raw): 0.50 eV/atom
Energy: -0.1575 hartree per atom

---

Entry 3:
Below is a relaxed YTaB2Rh crystal, with properties calculated at the PBE-GGA level.

```
data_YTaB2Rh
_chemical_formula_sum 'Y1 Ta1 B2 Rh1'
_cell_length_a 4.3495
_cell_length_b 4.3495
_cell_length_c 4.7598
_cell_angle_alpha 90.00
_cell_angle_beta 90.00
_cell_angle_gamma 90.00
_space_group_name_H-M_alt 'P 4/m m m'
_space_group_IT_number 123
_space_group_name_Hall '-P 4 2'
loop_
_atom_site_label
_atom_site_type_symbol
_atom_site_fract_x
_atom_site_fract_y
_atom_site_fract_z
_atom_site_occupancy
Y1 Y 0.0000 0.0000 0.0000 1
Ta1 Ta 0.5000 0.5000 0.5000 1
B1 B 0.0000 0.5000 0.5000 1
Rh1 Rh 0.5000 0.5000 0.0000 1
```

Values from the calculation:
DFT formation energy: 0.543 eV per atom
D(E_F): 3.54 states/eV/cell
Crystal system: tetragonal
Energy: -0.2669 hartree per atom